Material: Ta2CoCl
Method: DFT, GGA-PBE
State: relaxed

Properties
The crystal system is monoclinic. As for the density of states at the Fermi level: 0.75 states/eV per atom. As for the uncorrected formation energy: 0.977 eV/f.u. As for the electronic total energy: -7.920 eV/atom. Its energy above the most stable polymorph in this dataset is 247 meV per atom. For the total moment, the calculation gives 0.000 μB per formula unit.

```
data_Ta2CoCl
_chemical_formula_sum 'Ta2 Co1 Cl1'
_cell_length_a 2.8851
_cell_length_b 4.7621
_cell_length_c 4.6491
_cell_angle_alpha 90.00
_cell_angle_beta 102.05
_cell_angle_gamma 90.00
_space_group_name_H-M_alt 'P 1 m 1'
_space_group_IT_number 6
_space_group_name_Hall 'P -2y'
loop_
_atom_site_label
_atom_site_fract_x
_atom_site_fract_y
_atom_site_fract_z
_atom_site_occupancy
Ta1 0.0000 0.0000 0.0000 1
Ta2 0.2369 0.5000 0.5830 1
Co1 0.6274 0.5000 0.1088 1
Cl1 0.3229 0.0000 0.5427 1
```

---

Material: TaCo2Cl
Method: DFT, GGA-PBE
State: relaxed

Properties
The crystal system is cubic. As for the density of states at the Fermi level: 0.20 states/eV per atom. As for the uncorrected formation energy: 2.845 eV/f.u. As for the electronic total energy: -6.267 eV/atom. Its energy above the most stable polymorph in this dataset is 702 meV per atom. For the total moment, the calculation gives 0.000 μB per formula unit.

```
data_TaCo2Cl
_chemical_formula_sum 'Ta4 Co8 Cl4'
_cell_length_a 6.0820
_cell_length_b 6.0820
_cell_length_c 6.0820
_cell_angle_alpha 90.00
_cell_angle_beta 90.00
_cell_angle_gamma 90.00
_space_group_name_H-M_alt 'F m -3 m'
_space_group_IT_number 225
_space_group_name_Hall '-F 4 2 3'
loop_
_atom_site_label
_atom_site_fract_x
_atom_site_fract_y
_atom_site_fract_z
_atom_site_occupancy
Ta1 0.0000 0.0000 0.0000 1
Co1 0.2500 0.2500 0.2500 1
Cl1 0.0000 0.0000 0.5000 1
```

---

Material: TaCo2Cl
Method: DFT, GGA-PBE
State: relaxed

Properties
The crystal system is trigonal. As for the density of states at the Fermi level: 0.87 states/eV per atom. As for the uncorrected formation energy: 0.819 eV/f.u. As for the electronic total energy: -6.773 eV/atom. Its energy above the most stable polymorph in this dataset is 196 meV per atom. For the total moment, the calculation gives 3.477 μB per formula unit.

```
data_TaCo2Cl
_chemical_formula_sum 'Ta3 Co6 Cl3'
_cell_length_a 2.9103
_cell_length_b 2.9103
_cell_length_c 26.9634
_cell_angle_alpha 90.00
_cell_angle_beta 90.00
_cell_angle_gamma 120.00
_space_group_name_H-M_alt 'R 3 m'
_space_group_IT_number 160
_space_group_name_Hall 'R 3 -2"'
loop_
_atom_site_label
_atom_site_fract_x
_atom_site_fract_y
_atom_site_fract_z
_atom_site_occupancy
Ta1 0.0000 0.0000 0.0000 1
Co1 0.0000 0.0000 0.4771 1
Co2 0.0000 0.0000 0.7481 1
Cl1 0.0000 0.0000 0.2638 1
```

---

Material: TaCoCl2
Method: DFT, GGA-PBE
State: relaxed

Properties
The crystal system is orthorhombic. As for the density of states at the Fermi level: 0.31 states/eV per atom. As for the uncorrected formation energy: -1.213 eV/f.u. As for the electronic total energy: -5.966 eV/atom. Its energy above the most stable polymorph in this dataset is 214 meV per atom. For the total moment, the calculation gives 0.000 μB per formula unit.

```
data_TaCoCl2
_chemical_formula_sum 'Ta2 Co2 Cl4'
_cell_length_a 4.4274
_cell_length_b 4.4559
_cell_length_c 8.0538
_cell_angle_alpha 90.00
_cell_angle_beta 90.00
_cell_angle_gamma 90.00
_space_group_name_H-M_alt 'C m m 2'
_space_group_IT_number 35
_space_group_name_Hall 'C 2 -2'
loop_
_atom_site_label
_atom_site_fract_x
_atom_site_fract_y
_atom_site_fract_z
_atom_site_occupancy
Ta1 0.0000 0.0000 0.0000 1
Co1 0.0000 0.5000 0.8498 1
Cl1 0.0000 0.0000 0.6854 1
Cl2 0.0000 0.5000 0.2326 1
```

---

Material: Ta2CoCl
Method: DFT, GGA-PBE
State: relaxed

Properties
The crystal system is monoclinic. As for the density of states at the Fermi level: 0.88 states/eV per atom. As for the uncorrected formation energy: 1.167 eV/f.u. As for the electronic total energy: -7.873 eV/atom. Its energy above the most stable polymorph in this dataset is 294 meV per atom. For the total moment, the calculation gives 0.000 μB per formula unit.

```
data_Ta2CoCl
_chemical_formula_sum 'Ta4 Co2 Cl2'
_cell_length_a 9.0486
_cell_length_b 2.9236
_cell_length_c 4.7406
_cell_angle_alpha 90.00
_cell_angle_beta 102.15
_cell_angle_gamma 90.00
_space_group_name_H-M_alt 'C 1 m 1'
_space_group_IT_number 8
_space_group_name_Hall 'C -2y'
loop_
_atom_site_label
_atom_site_fract_x
_atom_site_fract_y
_atom_site_fract_z
_atom_site_occupancy
Ta1 0.0000 0.0000 0.0000 1
Ta2 0.2290 0.0000 0.5984 1
Co1 0.4975 0.0000 0.4921 1
Cl1 0.2378 0.5000 0.1163 1
```

---

Material: TaCo2Cl
Method: DFT, GGA-PBE
State: relaxed

Properties
The crystal system is orthorhombic. As for the density of states at the Fermi level: 1.08 states/eV per atom. As for the uncorrected formation energy: 1.919 eV/f.u. As for the electronic total energy: -6.498 eV/atom. Its energy above the most stable polymorph in this dataset is 471 meV per atom. For the total moment, the calculation gives 2.065 μB per formula unit.

```
data_TaCo2Cl
_chemical_formula_sum 'Ta2 Co4 Cl2'
_cell_length_a 2.8760
_cell_length_b 4.4177
_cell_length_c 8.7891
_cell_angle_alpha 90.00
_cell_angle_beta 90.00
_cell_angle_gamma 90.00
_space_group_name_H-M_alt 'I m m 2'
_space_group_IT_number 44
_space_group_name_Hall 'I 2 -2'
loop_
_atom_site_label
_atom_site_fract_x
_atom_site_fract_y
_atom_site_fract_z
_atom_site_occupancy
Ta1 0.0000 0.0000 0.0000 1
Co1 0.0000 0.0000 0.4688 1
Co2 0.0000 0.5000 0.2069 1
Cl1 0.0000 0.5000 0.7367 1
```

---

Material: TaCo3Cl
Method: DFT, GGA-PBE
State: relaxed

Properties
The crystal system is cubic. As for the density of states at the Fermi level: 1.95 states/eV per atom. As for the uncorrected formation energy: 7.711 eV/f.u. As for the electronic total energy: -5.461 eV/atom. Its energy above the most stable polymorph in this dataset is 698 meV per atom. For the total moment, the calculation gives 2.616 μB per formula unit.

```
data_TaCo3Cl
_chemical_formula_sum 'Ta1 Co3 Cl1'
_cell_length_a 4.6113
_cell_length_b 4.6113
_cell_length_c 4.6113
_cell_angle_alpha 90.00
_cell_angle_beta 90.00
_cell_angle_gamma 90.00
_space_group_name_H-M_alt 'P m -3 m'
_space_group_IT_number 221
_space_group_name_Hall '-P 4 2 3'
loop_
_atom_site_label
_atom_site_fract_x
_atom_site_fract_y
_atom_site_fract_z
_atom_site_occupancy
Ta1 0.0000 0.0000 0.0000 1
Co1 0.0000 0.0000 0.5000 1
Cl1 0.5000 0.5000 0.5000 1
```

---

Material: TaCoCl2
Method: DFT, GGA-PBE
State: relaxed

Properties
The crystal system is monoclinic. As for the density of states at the Fermi level: 1.27 states/eV per atom. As for the uncorrected formation energy: 1.258 eV/f.u. As for the electronic total energy: -5.349 eV/atom. Its energy above the most stable polymorph in this dataset is 832 meV per atom. For the total moment, the calculation gives 1.297 μB per formula unit.

```
data_TaCoCl2
_chemical_formula_sum 'Ta2 Co2 Cl4'
_cell_length_a 5.7052
_cell_length_b 8.2591
_cell_length_c 3.0653
_cell_angle_alpha 90.00
_cell_angle_beta 115.45
_cell_angle_gamma 90.00
_space_group_name_H-M_alt 'C 1 2/m 1'
_space_group_IT_number 12
_space_group_name_Hall '-C 2y'
loop_
_atom_site_label
_atom_site_fract_x
_atom_site_fract_y
_atom_site_fract_z
_atom_site_occupancy
Ta1 0.0000 0.0000 0.0000 1
Co1 0.0000 0.5000 0.0000 1
Cl1 0.2500 0.2500 0.0000 1
```

---

Material: Ta2CoCl
Method: DFT, GGA-PBE
State: relaxed

Properties
The crystal system is tetragonal. As for the density of states at the Fermi level: 0.87 states/eV per atom. As for the uncorrected formation energy: 0.329 eV/f.u. As for the electronic total energy: -8.082 eV/atom. Its energy above the most stable polymorph in this dataset is 85 meV per atom. For the total moment, the calculation gives 0.313 μB per formula unit.

```
data_Ta2CoCl
_chemical_formula_sum 'Ta2 Co1 Cl1'
_cell_length_a 2.9729
_cell_length_b 2.9729
_cell_length_c 8.4019
_cell_angle_alpha 90.00
_cell_angle_beta 90.00
_cell_angle_gamma 90.00
_space_group_name_H-M_alt 'P 4 m m'
_space_group_IT_number 99
_space_group_name_Hall 'P 4 -2'
loop_
_atom_site_label
_atom_site_fract_x
_atom_site_fract_y
_atom_site_fract_z
_atom_site_occupancy
Ta1 0.0000 0.0000 0.0000 1
Ta2 0.5000 0.5000 0.2644 1
Co1 0.5000 0.5000 0.8376 1
Cl1 0.0000 0.0000 0.4612 1
```

---

Material: TaCoCl2
Method: DFT, GGA-PBE
State: relaxed

Properties
The crystal system is cubic. As for the density of states at the Fermi level: 1.06 states/eV per atom. As for the uncorrected formation energy: 2.354 eV/f.u. As for the electronic total energy: -5.074 eV/atom. Its energy above the most stable polymorph in this dataset is 1106 meV per atom. For the total moment, the calculation gives 0.854 μB per formula unit.

```
data_TaCoCl2
_chemical_formula_sum 'Ta4 Co4 Cl8'
_cell_length_a 6.1159
_cell_length_b 6.1159
_cell_length_c 6.1159
_cell_angle_alpha 90.00
_cell_angle_beta 90.00
_cell_angle_gamma 90.00
_space_group_name_H-M_alt 'F m -3 m'
_space_group_IT_number 225
_space_group_name_Hall '-F 4 2 3'
loop_
_atom_site_label
_atom_site_fract_x
_atom_site_fract_y
_atom_site_fract_z
_atom_site_occupancy
Ta1 0.0000 0.0000 0.0000 1
Co1 0.0000 0.0000 0.5000 1
Cl1 0.2500 0.2500 0.2500 1
```

---

Material: TaCo2Cl
Method: DFT, GGA-PBE
State: relaxed

Properties
The crystal system is orthorhombic. As for the density of states at the Fermi level: 1.15 states/eV per atom. As for the uncorrected formation energy: 1.976 eV/f.u. As for the electronic total energy: -6.484 eV/atom. Its energy above the most stable polymorph in this dataset is 485 meV per atom. For the total moment, the calculation gives 1.997 μB per formula unit.

```
data_TaCo2Cl
_chemical_formula_sum 'Ta1 Co2 Cl1'
_cell_length_a 2.8360
_cell_length_b 4.3983
_cell_length_c 4.4026
_cell_angle_alpha 90.00
_cell_angle_beta 90.00
_cell_angle_gamma 90.00
_space_group_name_H-M_alt 'P m m m'
_space_group_IT_number 47
_space_group_name_Hall '-P 2 2'
loop_
_atom_site_label
_atom_site_fract_x
_atom_site_fract_y
_atom_site_fract_z
_atom_site_occupancy
Ta1 0.0000 0.0000 0.0000 1
Co1 0.0000 0.5000 0.5000 1
Co2 0.5000 0.5000 0.0000 1
Cl1 0.5000 0.0000 0.5000 1
```

---

Material: Ta2CoCl
Method: DFT, GGA-PBE
State: relaxed

Properties
The crystal system is orthorhombic. As for the density of states at the Fermi level: 1.07 states/eV per atom. As for the uncorrected formation energy: 0.143 eV/f.u. As for the electronic total energy: -8.129 eV/atom. Its energy above the most stable polymorph in this dataset is 38 meV per atom. For the total moment, the calculation gives 0.001 μB per formula unit.

```
data_Ta2CoCl
_chemical_formula_sum 'Ta2 Co1 Cl1'
_cell_length_a 2.9848
_cell_length_b 2.9901
_cell_length_c 7.4190
_cell_angle_alpha 90.00
_cell_angle_beta 90.00
_cell_angle_gamma 90.00
_space_group_name_H-M_alt 'P m m m'
_space_group_IT_number 47
_space_group_name_Hall '-P 2 2'
loop_
_atom_site_label
_atom_site_fract_x
_atom_site_fract_y
_atom_site_fract_z
_atom_site_occupancy
Ta1 0.0000 0.0000 0.2071 1
Co1 0.5000 0.5000 0.0000 1
Cl1 0.0000 0.5000 0.5000 1
```

---

Material: TaCoCl2
Method: DFT, GGA-PBE
State: relaxed

Properties
The crystal system is tetragonal. As for the density of states at the Fermi level: 1.40 states/eV per atom. As for the uncorrected formation energy: 2.230 eV/f.u. As for the electronic total energy: -5.106 eV/atom. Its energy above the most stable polymorph in this dataset is 1075 meV per atom. For the total moment, the calculation gives 0.734 μB per formula unit.

```
data_TaCoCl2
_chemical_formula_sum 'Ta1 Co1 Cl2'
_cell_length_a 3.1417
_cell_length_b 3.1417
_cell_length_c 5.9197
_cell_angle_alpha 90.00
_cell_angle_beta 90.00
_cell_angle_gamma 90.00
_space_group_name_H-M_alt 'P 4/m m m'
_space_group_IT_number 123
_space_group_name_Hall '-P 4 2'
loop_
_atom_site_label
_atom_site_fract_x
_atom_site_fract_y
_atom_site_fract_z
_atom_site_occupancy
Ta1 0.0000 0.0000 0.0000 1
Co1 0.0000 0.0000 0.5000 1
Cl1 0.5000 0.5000 0.2482 1
```

---

Material: Ta2CoCl
Method: DFT, GGA-PBE
State: relaxed

Properties
The crystal system is monoclinic. As for the density of states at the Fermi level: 1.02 states/eV per atom. As for the uncorrected formation energy: 1.369 eV/f.u. As for the electronic total energy: -7.822 eV/atom. Its energy above the most stable polymorph in this dataset is 345 meV per atom. For the total moment, the calculation gives 0.000 μB per formula unit.

```
data_Ta2CoCl
_chemical_formula_sum 'Ta4 Co2 Cl2'
_cell_length_a 6.4857
_cell_length_b 6.4916
_cell_length_c 2.8400
_cell_angle_alpha 90.00
_cell_angle_beta 90.76
_cell_angle_gamma 90.00
_space_group_name_H-M_alt 'C 1 2/m 1'
_space_group_IT_number 12
_space_group_name_Hall '-C 2y'
loop_
_atom_site_label
_atom_site_fract_x
_atom_site_fract_y
_atom_site_fract_z
_atom_site_occupancy
Ta1 0.2500 0.2500 0.0000 1
Co1 0.0000 0.0000 0.5000 1
Cl1 0.0000 0.5000 0.5000 1
```